First-principles (GGA-PBE) data for CuTe3F after structural relaxation, as listed in the Alexandria database.

The structure in CIF format:
```
data_CuTe3F
_chemical_formula_sum 'Cu1 Te3 F1'
_cell_length_a 4.921
_cell_length_b 4.921
_cell_length_c 4.921
_cell_angle_alpha 90.00
_cell_angle_beta 90.00
_cell_angle_gamma 90.00
_symmetry_space_group_name_H-M 'P m -3 m'
_symmetry_Int_Tables_number 221
_symmetry_space_group_name_Hall '-P 4 2 3'
loop_
_atom_site_label
_atom_site_type_symbol
_atom_site_fract_x
_atom_site_fract_y
_atom_site_fract_z
_atom_site_occupancy
Cu1 Cu 0.000 0.000 0.000 1
Te1 Te 0.000 0.500 0.500 1
F1 F 0.500 0.500 0.500 1
```

Energy above the most stable polymorph in this dataset   0.746 eV per atom
Electronic total energy   -2.7359 eV/atom
Formation energy from raw total energies   343 meV/atom
Crystal system   cubic
Total moment   0.00 μB per formula unit